An optimized crystal structure of PuGe2Pd3. Source: Alexandria via LeMat-Bulk, functional PBE.

D(E_F) = 27.33 states/eV/cell
VASP energy = -7.07 eV/atom
SG = C2/m, No. 12
Calculated volume = 18.3 Å³/atom
Formation energy = -550 meV per atom

abc: 8.154 8.154 7.509
angles: 115.78 115.78 29.52
Atoms (fractional coordinates):
1 Pu 0.151 0.151 0.074
2 Pu 0.849 0.849 0.926
3 Ge 0.195 0.195 0.708
4 Ge 0.483 0.483 0.824
5 Ge 0.517 0.517 0.176
6 Ge 0.805 0.805 0.292
7 Pd 0.046 0.046 0.373
8 Pd 0.314 0.314 0.565
9 Pd 0.400 0.400 0.311
10 Pd 0.600 0.600 0.689
11 Pd 0.686 0.686 0.435
12 Pd 0.954 0.954 0.627

---

An optimized crystal structure of AlAuS2. Source: Alexandria via LeMat-Bulk, functional PBE.

D(E_F) = 4.12 states/eV/cell
VASP energy = -3.62 eV/atom
SG = I4/mcm, No. 140
Raw formation energy = 0.194 eV per atom
Calculated volume = 17.5 Å³/atom

abc: 5.666 5.666 5.666
angles: 109.40 109.40 109.62
Atoms (fractional coordinates):
1 Al 0.250 0.250 0.000
2 Al 0.750 0.750 0.000
3 Au 0.250 0.750 0.500
4 Au 0.750 0.250 0.500
5 S 0.209 0.709 0.918
6 S 0.291 0.209 0.500
7 S 0.709 0.791 0.500
8 S 0.791 0.291 0.082

---

An optimized crystal structure of RbTl2GaI4. Source: Alexandria via LeMat-Bulk, functional PBE.

D(E_F) = 0.00 states/eV/cell
VASP energy = -2.64 eV/atom
SG = P2/m, No. 10
Raw formation energy = -0.776 eV per atom
Calculated volume = 44.5 Å³/atom

abc: 8.681 5.007 8.683
angles: 90.00 109.36 90.00
Atoms (fractional coordinates):
1 Rb 0.000 0.000 0.000
2 Tl 0.000 0.500 0.500
3 Tl 0.500 0.000 0.500
4 Ga 0.500 0.500 0.000
5 I 0.263 0.500 0.249
6 I 0.266 0.000 0.760
7 I 0.734 0.000 0.240
8 I 0.737 0.500 0.751

---

An optimized crystal structure of Nd12Co6Pt. Source: Alexandria via LeMat-Bulk, functional PBE.

D(E_F) = 14.35 states/eV/cell
VASP energy = -5.73 eV/atom
SG = Im-3, No. 204
Calculated volume = 25.4 Å³/atom
Formation energy = -156 meV per atom

abc: 8.557 8.557 8.557
angles: 109.47 109.47 109.47
Atoms (fractional coordinates):
1 Nd 0.110 0.809 0.301
2 Nd 0.191 0.301 0.492
3 Nd 0.191 0.699 0.890
4 Nd 0.301 0.110 0.809
5 Nd 0.301 0.492 0.191
6 Nd 0.492 0.191 0.301
7 Nd 0.508 0.809 0.699
8 Nd 0.699 0.508 0.809
9 Nd 0.699 0.890 0.191
10 Nd 0.809 0.301 0.110
11 Nd 0.809 0.699 0.508
12 Nd 0.890 0.191 0.699
13 Co 0.113 0.613 0.500
14 Co 0.387 0.500 0.887
15 Co 0.500 0.113 0.613
16 Co 0.500 0.887 0.387
17 Co 0.613 0.500 0.113
18 Co 0.887 0.387 0.500
19 Pt 0.000 0.000 0.000

---

An optimized crystal structure of Tm2PaTaN4. Source: Alexandria via LeMat-Bulk, functional PBE.

D(E_F) = 3.62 states/eV/cell
VASP energy = -9.49 eV/atom
SG = P2/m, No. 10
Raw formation energy = -1.543 eV per atom
Calculated volume = 13.3 Å³/atom

abc: 5.763 3.336 5.835
angles: 90.00 108.99 90.00
Atoms (fractional coordinates):
1 Tm 0.000 0.000 0.000
2 Tm 0.500 0.500 0.000
3 Pa 0.000 0.500 0.500
4 Ta 0.500 0.000 0.500
5 N 0.260 0.000 0.745
6 N 0.265 0.500 0.266
7 N 0.735 0.500 0.734
8 N 0.740 0.000 0.255

---

An optimized crystal structure of AgSe2Cl. Source: Alexandria via LeMat-Bulk, functional PBE.

Distance to the lowest polymorph of the same formula = 320 meV per atom
D(E_F) = 1.43 states/eV/cell
VASP energy = -2.79 eV/atom
SG = Pmmm, No. 47
Raw formation energy = 0.131 eV per atom
Calculated volume = 30.8 Å³/atom

abc: 3.480 4.901 7.216
angles: 90.00 90.00 90.00
Atoms (fractional coordinates):
1 Ag 0.000 0.000 0.000
2 Se 0.500 0.225 0.500
3 Se 0.500 0.775 0.500
4 Cl 0.000 0.500 0.000

---

An optimized crystal structure of YbCO3. Source: Alexandria via LeMat-Bulk, functional PBE.

VASP energy = -7.29 eV/atom
SG = Pnma, No. 62
Raw formation energy = -2.165 eV per atom
Calculated volume = 13.2 Å³/atom

abc: 6.711 8.561 4.601
angles: 90.00 90.00 90.00
Atoms (fractional coordinates):
1 Yb 0.000 0.000 0.000
2 Yb 0.000 0.500 0.000
3 Yb 0.500 0.000 0.500
4 Yb 0.500 0.500 0.500
5 C 0.135 0.250 0.483
6 C 0.365 0.750 0.983
7 C 0.635 0.250 0.017
8 C 0.865 0.750 0.517
9 O 0.045 0.250 0.234
10 O 0.182 0.117 0.606
11 O 0.182 0.383 0.606
12 O 0.318 0.617 0.106
13 O 0.318 0.883 0.106
14 O 0.455 0.750 0.734
15 O 0.545 0.250 0.266
16 O 0.682 0.117 0.894
17 O 0.682 0.383 0.894
18 O 0.818 0.617 0.394
19 O 0.818 0.883 0.394
20 O 0.955 0.750 0.766

---

An optimized crystal structure of LiCu2Pd2. Source: Alexandria via LeMat-Bulk, functional PBE.

Distance to the lowest polymorph of the same formula = 96 meV per atom
D(E_F) = 3.52 states/eV/cell
VASP energy = -4.22 eV/atom
SG = P4/mbm, No. 127
Calculated volume = 15.0 Å³/atom
Formation energy = -121 meV per atom

abc: 7.256 7.256 2.853
angles: 90.00 90.00 90.00
Atoms (fractional coordinates):
1 Li 0.000 0.000 0.000
2 Li 0.500 0.500 0.000
3 Cu 0.157 0.343 0.500
4 Cu 0.343 0.843 0.500
5 Cu 0.657 0.157 0.500
6 Cu 0.843 0.657 0.500
7 Pd 0.140 0.640 0.000
8 Pd 0.360 0.140 0.000
9 Pd 0.640 0.860 0.000
10 Pd 0.860 0.360 0.000

---

An optimized crystal structure of Pm2FeGe4Pd3. Source: Alexandria via LeMat-Bulk, functional PBE.

D(E_F) = 6.96 states/eV/cell
VASP energy = -5.90 eV/atom
SG = P-4m2, No. 115
Calculated volume = 18.8 Å³/atom
Formation energy = -696 meV per atom

abc: 4.253 4.253 10.399
angles: 90.00 90.00 90.00
Atoms (fractional coordinates):
1 Pm 0.000 0.500 0.247
2 Pm 0.500 0.000 0.753
3 Fe 0.500 0.500 0.000
4 Ge 0.000 0.000 0.500
5 Ge 0.000 0.500 0.874
6 Ge 0.500 0.000 0.126
7 Ge 0.500 0.500 0.500
8 Pd 0.000 0.000 0.000
9 Pd 0.000 0.500 0.634
10 Pd 0.500 0.000 0.366

---

An optimized crystal structure of DyAl2Tl. Source: Alexandria via LeMat-Bulk, functional PBE.

D(E_F) = 1.05 states/eV/cell
VASP energy = -3.87 eV/atom
SG = P4/mmm, No. 123
Calculated volume = 21.9 Å³/atom
Formation energy = -257 meV per atom

abc: 4.471 4.471 4.377
angles: 90.00 90.00 90.00
Atoms (fractional coordinates):
1 Dy 0.000 0.000 0.000
2 Al 0.000 0.500 0.500
3 Al 0.500 0.000 0.500
4 Tl 0.500 0.500 0.000

---

An optimized crystal structure of H3WS. Source: Alexandria via LeMat-Bulk, functional PBE.

Distance to the lowest polymorph of the same formula = 0 meV per atom
D(E_F) = 3.28 states/eV/cell
VASP energy = -4.67 eV/atom
SG = Pm-3m, No. 221
Calculated volume = 9.0 Å³/atom

abc: 3.559 3.559 3.559
angles: 90.00 90.00 90.00
Atoms (fractional coordinates):
1 H 0.000 0.000 0.500
2 H 0.000 0.500 0.000
3 H 0.500 0.000 0.000
4 W 0.000 0.000 0.000
5 S 0.500 0.500 0.500

---

An optimized crystal structure of CdRhN2F. Source: Alexandria via LeMat-Bulk, functional PBE.

Distance to the lowest polymorph of the same formula = 0 meV per atom
D(E_F) = 1.91 states/eV/cell
VASP energy = -4.86 eV/atom
SG = P4/mmm, No. 123
Raw formation energy = 0.502 eV per atom
Calculated volume = 13.9 Å³/atom

abc: 3.803 3.803 4.821
angles: 90.00 90.00 90.00
Atoms (fractional coordinates):
1 Cd 0.000 0.000 0.000
2 Rh 0.500 0.500 0.500
3 N 0.000 0.500 0.500
4 N 0.500 0.000 0.500
5 F 0.500 0.500 0.000

---

An optimized crystal structure of SrYAgCl6. Source: Alexandria via LeMat-Bulk, functional PBE.

D(E_F) = 0.00 states/eV/cell
VASP energy = -4.38 eV/atom
SG = P-31c, No. 163
Raw formation energy = -1.927 eV per atom
Calculated volume = 29.6 Å³/atom

abc: 6.919 6.919 12.871
angles: 90.00 90.00 120.00
Atoms (fractional coordinates):
1 Sr 0.000 0.000 0.000
2 Sr 0.000 0.000 0.500
3 Y 0.333 0.667 0.250
4 Y 0.667 0.333 0.750
5 Ag 0.333 0.667 0.750
6 Ag 0.667 0.333 0.250
7 Cl 0.015 0.355 0.131
8 Cl 0.015 0.660 0.369
9 Cl 0.340 0.355 0.369
10 Cl 0.340 0.985 0.131
11 Cl 0.355 0.015 0.631
12 Cl 0.355 0.340 0.869
13 Cl 0.645 0.660 0.131
14 Cl 0.645 0.985 0.369
15 Cl 0.660 0.015 0.869
16 Cl 0.660 0.645 0.631
17 Cl 0.985 0.340 0.631
18 Cl 0.985 0.645 0.869

---

An optimized crystal structure of Ba2LiCaTl. Source: Alexandria via LeMat-Bulk, functional PBE.

Distance to the lowest polymorph of the same formula = 0 meV per atom
D(E_F) = 2.60 states/eV/cell
VASP energy = -2.02 eV/atom
SG = P4/mmm, No. 123
Calculated volume = 42.3 Å³/atom
Formation energy = 6 meV per atom

abc: 6.401 6.401 5.160
angles: 90.00 90.00 90.00
Atoms (fractional coordinates):
1 Ba 0.000 0.500 0.000
2 Ba 0.500 0.000 0.000
3 Li 0.000 0.000 0.000
4 Ca 0.500 0.500 0.500
5 Tl 0.000 0.000 0.500

---

An optimized crystal structure of LaTb6Pm8. Source: Alexandria via LeMat-Bulk, functional PBE.

D(E_F) = 23.22 states/eV/cell
VASP energy = -4.59 eV/atom
SG = R-3, No. 148
Calculated volume = 33.9 Å³/atom
Formation energy = 125 meV per atom

abc: 8.777 8.777 8.777
angles: 62.92 62.92 62.92
Atoms (fractional coordinates):
1 La 0.000 0.000 0.000
2 Tb 0.098 0.246 0.535
3 Tb 0.246 0.535 0.098
4 Tb 0.465 0.902 0.754
5 Tb 0.535 0.098 0.246
6 Tb 0.754 0.465 0.902
7 Tb 0.902 0.754 0.465
8 Pm 0.113 0.749 0.717
9 Pm 0.251 0.283 0.887
10 Pm 0.283 0.887 0.251
11 Pm 0.422 0.422 0.422
12 Pm 0.578 0.578 0.578
13 Pm 0.717 0.113 0.749
14 Pm 0.749 0.717 0.113
15 Pm 0.887 0.251 0.283

---

An optimized crystal structure of Si2TcW2. Source: Alexandria via LeMat-Bulk, functional PBE.

Distance to the lowest polymorph of the same formula = 590 meV per atom
D(E_F) = 3.91 states/eV/cell
VASP energy = -8.91 eV/atom
SG = I4/mmm, No. 139
Raw formation energy = 0.512 eV per atom
Calculated volume = 16.1 Å³/atom

abc: 6.152 6.152 6.152
angles: 143.89 143.89 52.00
Atoms (fractional coordinates):
1 Si 0.100 0.100 0.000
2 Si 0.900 0.900 0.000
3 Tc 0.500 0.500 0.000
4 W 0.250 0.750 0.500
5 W 0.750 0.250 0.500

---

An optimized crystal structure of LaSb3. Source: Alexandria via LeMat-Bulk, functional PBE.

D(E_F) = 0.32 states/eV/cell
VASP energy = -4.87 eV/atom
SG = Pmm2, No. 25
Raw formation energy = -0.546 eV per atom
Calculated volume = 33.3 Å³/atom

abc: 4.482 6.333 4.699
angles: 90.00 90.00 90.00
Atoms (fractional coordinates):
1 La 0.000 0.000 0.000
2 Sb 0.000 0.500 0.854
3 Sb 0.500 0.000 0.481
4 Sb 0.500 0.500 0.275

---

An optimized crystal structure of Dy2Ga2Ge. Source: Alexandria via LeMat-Bulk, functional PBE.

Distance to the lowest polymorph of the same formula = 0 meV per atom
D(E_F) = 5.08 states/eV/cell
VASP energy = -4.63 eV/atom
SG = C2/m, No. 12
Calculated volume = 22.1 Å³/atom
Formation energy = -653 meV per atom

abc: 5.850 5.850 10.948
angles: 115.44 115.44 41.50
Atoms (fractional coordinates):
1 Dy 0.098 0.098 0.402
2 Dy 0.294 0.294 0.854
3 Dy 0.706 0.706 0.146
4 Dy 0.902 0.902 0.598
5 Ga 0.016 0.016 0.899
6 Ga 0.366 0.366 0.390
7 Ga 0.634 0.634 0.610
8 Ga 0.984 0.984 0.101
9 Ge 0.423 0.423 0.186
10 Ge 0.577 0.577 0.814

---

An optimized crystal structure of KLa2CrCu. Source: Alexandria via LeMat-Bulk, functional PBE.

D(E_F) = 5.56 states/eV/cell
VASP energy = -4.37 eV/atom
SG = P4/mmm, No. 123
Calculated volume = 29.0 Å³/atom
Formation energy = 564 meV per atom

abc: 5.296 5.296 5.162
angles: 90.00 90.00 90.00
Atoms (fractional coordinates):
1 K 0.000 0.000 0.000
2 La 0.000 0.500 0.500
3 La 0.500 0.000 0.500
4 Cr 0.500 0.500 0.500
5 Cu 0.500 0.500 0.000

---

An optimized crystal structure of Ir8Se. Source: Alexandria via LeMat-Bulk, functional PBE.

D(E_F) = 9.16 states/eV/cell
VASP energy = -7.98 eV/atom
SG = I4/mmm, No. 139
Raw formation energy = 0.282 eV per atom
Calculated volume = 15.0 Å³/atom

abc: 6.177 6.177 6.177
angles: 95.85 95.85 142.78
Atoms (fractional coordinates):
1 Ir 0.000 0.331 0.331
2 Ir 0.000 0.669 0.669
3 Ir 0.325 0.325 0.650
4 Ir 0.325 0.675 0.000
5 Ir 0.331 0.000 0.331
6 Ir 0.669 0.000 0.669
7 Ir 0.675 0.325 0.000
8 Ir 0.675 0.675 0.350
9 Se 0.000 0.000 0.000